Compound: Mg2ReSi
Source: Alexandria via LeMat-Bulk
Functional: PBE
Structure: relaxed

Calculated values
Formation energy without anion corrections = 14.7 kJ/mol of atoms
Electronic total energy = -40.90 eV per cell

The structure in POSCAR format:
```
Mg2ReSi
1.0
3.952 0.000 0.000
0.000 3.952 0.000
0.000 0.000 7.989
Mg Re Si
4 2 2
direct
0.000 0.000 0.000 Mg
0.000 0.500 0.250 Mg
0.500 0.000 0.750 Mg
0.500 0.500 0.500 Mg
0.000 0.500 0.750 Re
0.500 0.000 0.250 Re
0.000 0.000 0.500 Si
0.500 0.500 0.000 Si
```

***

Compound: TlAgHg2
Source: Alexandria via LeMat-Bulk
Functional: PBE
Structure: relaxed

Calculated values
Electronic total energy = -16.30 eV per cell

The structure in POSCAR format:
```
TlAgHg2
1.0
3.349 0.000 0.000
-1.674 2.900 0.000
0.000 0.000 30.474
Tl Ag Hg
3 3 6
direct
0.000 0.000 0.000 Tl
0.333 0.667 0.667 Tl
0.667 0.333 0.333 Tl
0.000 0.000 0.746 Ag
0.333 0.667 0.412 Ag
0.667 0.333 0.079 Ag
0.000 0.000 0.244 Hg
0.000 0.000 0.488 Hg
0.333 0.667 0.154 Hg
0.333 0.667 0.911 Hg
0.667 0.333 0.577 Hg
0.667 0.333 0.821 Hg
```

***

Compound: Ca3FeAg
Source: Alexandria via LeMat-Bulk
Functional: PBE
Structure: relaxed

Calculated values
Electronic total energy = -15.46 eV per cell

The structure in POSCAR format:
```
Ca3FeAg
1.0
5.352 0.000 0.000
0.000 5.352 0.000
0.000 0.000 5.352
Ca Fe Ag
3 1 1
direct
0.000 0.000 0.500 Ca
0.000 0.500 0.000 Ca
0.500 0.000 0.000 Ca
0.000 0.000 0.000 Fe
0.500 0.500 0.500 Ag
```

***

Compound: TaFeCu
Source: Alexandria via LeMat-Bulk
Functional: PBE
Structure: relaxed

Calculated values
Electronic total energy = -142.99 eV per cell

The structure in POSCAR format:
```
TaFeCu
1.0
-4.208 4.731 3.156
4.208 -4.731 3.156
4.208 4.731 -3.156
Ta Fe Cu
6 6 6
direct
0.193 0.016 0.209 Ta
0.193 0.484 0.676 Ta
0.548 0.384 0.665 Ta
0.719 0.884 0.335 Ta
0.807 0.516 0.324 Ta
0.807 0.984 0.791 Ta
0.273 0.455 0.017 Fe
0.273 0.756 0.317 Fe
0.438 0.256 0.983 Fe
0.438 0.955 0.683 Fe
0.732 0.232 0.500 Fe
0.732 0.732 0.000 Fe
0.049 0.758 0.791 Cu
0.105 0.009 0.597 Cu
0.412 0.509 0.403 Cu
0.485 0.936 0.049 Cu
0.886 0.436 0.951 Cu
0.967 0.258 0.209 Cu
```

***

Compound: PbAu2
Source: Alexandria via LeMat-Bulk
Functional: PBE
Structure: relaxed

Calculated values
Electronic total energy = -83.72 eV per cell

The structure in POSCAR format:
```
PbAu2
1.0
8.196 0.000 0.000
0.000 5.749 0.000
0.000 0.000 11.322
Pb Au
8 16
direct
0.127 0.006 0.125 Pb
0.127 0.994 0.625 Pb
0.373 0.494 0.625 Pb
0.373 0.506 0.125 Pb
0.627 0.494 0.875 Pb
0.627 0.506 0.375 Pb
0.873 0.006 0.375 Pb
0.873 0.994 0.875 Pb
0.000 0.476 0.250 Au
0.000 0.500 0.000 Au
0.000 0.500 0.500 Au
0.000 0.524 0.750 Au
0.229 0.221 0.874 Au
0.229 0.779 0.374 Au
0.271 0.279 0.374 Au
0.271 0.721 0.874 Au
0.500 0.000 0.000 Au
0.500 0.000 0.500 Au
0.500 0.024 0.750 Au
0.500 0.976 0.250 Au
0.729 0.279 0.126 Au
0.729 0.721 0.626 Au
0.771 0.221 0.626 Au
0.771 0.779 0.126 Au
```

***

Compound: TiTlOsO6
Source: Alexandria via LeMat-Bulk
Functional: PBE
Structure: relaxed

Calculated values
Formation energy without anion corrections = -150.8 kJ/mol of atoms
Electronic total energy = -65.30 eV per cell

The structure in POSCAR format:
```
TiTlOsO6
1.0
5.236 0.000 0.000
-2.618 4.534 0.000
0.000 0.000 5.838
Ti Tl Os O
1 1 1 6
direct
0.000 0.000 0.000 Ti
0.667 0.333 0.463 Tl
0.333 0.667 0.941 Os
0.062 0.347 0.147 O
0.065 0.726 0.774 O
0.274 0.339 0.774 O
0.285 0.938 0.147 O
0.653 0.715 0.147 O
0.661 0.935 0.774 O
```

***

Compound: GaSi2Ge2
Source: Alexandria via LeMat-Bulk
Functional: PBE
Structure: relaxed

Calculated values
Formation energy without anion corrections = 25.1 kJ/mol of atoms
Electronic total energy = -43.61 eV per cell

The structure in POSCAR format:
```
GaSi2Ge2
1.0
4.717 0.000 0.000
0.000 4.717 0.000
0.000 0.000 8.717
Ga Si Ge
2 4 4
direct
0.000 0.000 0.000 Ga
0.500 0.500 0.500 Ga
0.000 0.000 0.365 Si
0.000 0.000 0.635 Si
0.500 0.500 0.135 Si
0.500 0.500 0.865 Si
0.000 0.500 0.250 Ge
0.000 0.500 0.750 Ge
0.500 0.000 0.250 Ge
0.500 0.000 0.750 Ge
```

***

Compound: Nd3Th5Se8
Source: Alexandria via LeMat-Bulk
Functional: PBE
Structure: relaxed

Calculated values
Formation energy without anion corrections = -158.8 kJ/mol of atoms
Electronic total energy = -105.61 eV per cell

The structure in POSCAR format:
```
Nd3Th5Se8
1.0
4.196 2.423 6.925
-4.196 2.423 6.925
0.000 -4.845 6.925
Nd Th Se
3 5 8
direct
0.000 0.500 0.500 Nd
0.500 0.000 0.500 Nd
0.500 0.500 0.000 Nd
0.000 0.000 0.000 Th
0.000 0.000 0.500 Th
0.000 0.500 0.000 Th
0.500 0.000 0.000 Th
0.500 0.500 0.500 Th
0.250 0.250 0.250 Se
0.250 0.250 0.749 Se
0.250 0.749 0.250 Se
0.251 0.750 0.750 Se
0.749 0.250 0.250 Se
0.750 0.251 0.750 Se
0.750 0.750 0.251 Se
0.750 0.750 0.750 Se
```

***

Compound: SrAl2Tc2
Source: Alexandria via LeMat-Bulk
Functional: PBE
Structure: relaxed

Calculated values
Electronic total energy = -59.48 eV per cell

The structure in POSCAR format:
```
SrAl2Tc2
1.0
8.054 0.000 0.000
0.000 8.054 0.000
0.000 0.000 2.745
Sr Al Tc
2 4 4
direct
0.000 0.000 0.000 Sr
0.500 0.500 0.000 Sr
0.157 0.343 0.500 Al
0.343 0.843 0.500 Al
0.657 0.157 0.500 Al
0.843 0.657 0.500 Al
0.132 0.632 0.000 Tc
0.368 0.132 0.000 Tc
0.632 0.868 0.000 Tc
0.868 0.368 0.000 Tc
```

***

Compound: TbZnPt6
Source: Alexandria via LeMat-Bulk
Functional: PBE
Structure: relaxed

Calculated values
Electronic total energy = -47.52 eV per cell

The structure in POSCAR format:
```
TbZnPt6
1.0
4.062 0.000 0.000
0.000 4.062 0.000
0.000 0.000 7.961
Tb Zn Pt
1 1 6
direct
0.000 0.000 0.000 Tb
0.000 0.000 0.500 Zn
0.000 0.500 0.266 Pt
0.000 0.500 0.734 Pt
0.500 0.000 0.266 Pt
0.500 0.000 0.734 Pt
0.500 0.500 0.000 Pt
0.500 0.500 0.500 Pt
```

***

Compound: SrRu
Source: Alexandria via LeMat-Bulk
Functional: PBE
Structure: relaxed

Calculated values
Electronic total energy = -77.87 eV per cell

The structure in POSCAR format:
```
SrRu
1.0
11.511 0.000 0.000
0.000 11.511 0.000
0.000 0.000 3.178
Sr Ru
8 8
direct
0.111 0.808 0.000 Sr
0.192 0.111 0.000 Sr
0.310 0.379 0.500 Sr
0.379 0.690 0.500 Sr
0.621 0.310 0.500 Sr
0.690 0.621 0.500 Sr
0.808 0.889 0.000 Sr
0.889 0.192 0.000 Sr
0.075 0.378 0.000 Ru
0.095 0.559 0.500 Ru
0.378 0.925 0.000 Ru
0.441 0.095 0.500 Ru
0.559 0.905 0.500 Ru
0.622 0.075 0.000 Ru
0.905 0.441 0.500 Ru
0.925 0.622 0.000 Ru
```

***

Compound: ZrSc2Br
Source: Alexandria via LeMat-Bulk
Functional: PBE
Structure: relaxed

Calculated values
Formation energy without anion corrections = -29.6 kJ/mol of atoms
Electronic total energy = -72.34 eV per cell

The structure in POSCAR format:
```
ZrSc2Br
1.0
3.371 0.000 0.000
-1.685 2.919 0.000
0.000 0.000 28.513
Zr Sc Br
3 6 3
direct
0.000 0.000 0.000 Zr
0.333 0.667 0.667 Zr
0.667 0.333 0.333 Zr
0.000 0.000 0.510 Sc
0.000 0.000 0.753 Sc
0.333 0.667 0.176 Sc
0.333 0.667 0.420 Sc
0.667 0.333 0.087 Sc
0.667 0.333 0.843 Sc
0.000 0.000 0.256 Br
0.333 0.667 0.923 Br
0.667 0.333 0.589 Br
```

***

Compound: BeHgAu
Source: Alexandria via LeMat-Bulk
Functional: PBE
Structure: relaxed

Calculated values
Electronic total energy = -27.54 eV per cell

The structure in POSCAR format:
```
BeHgAu
1.0
5.939 0.000 0.000
0.000 5.939 0.000
0.000 0.000 5.939
Be Hg Au
4 4 4
direct
0.000 0.000 0.000 Be
0.000 0.500 0.500 Be
0.500 0.000 0.500 Be
0.500 0.500 0.000 Be
0.250 0.250 0.250 Hg
0.250 0.750 0.750 Hg
0.750 0.250 0.750 Hg
0.750 0.750 0.250 Hg
0.250 0.250 0.750 Au
0.250 0.750 0.250 Au
0.750 0.250 0.250 Au
0.750 0.750 0.750 Au
```

***

Compound: LiCuAg2
Source: Alexandria via LeMat-Bulk
Functional: PBE
Structure: relaxed

Calculated values
Electronic total energy = -11.86 eV per cell

The structure in POSCAR format:
```
LiCuAg2
1.0
2.872 0.000 0.000
0.000 2.872 0.000
0.000 0.000 7.593
Li Cu Ag
1 1 2
direct
0.000 0.000 0.000 Li
0.000 0.000 0.500 Cu
0.500 0.500 0.258 Ag
0.500 0.500 0.742 Ag
```

***

Compound: TmCdCuRu
Source: Alexandria via LeMat-Bulk
Functional: PBE
Structure: relaxed

Calculated values
Electronic total energy = -76.32 eV per cell

The structure in POSCAR format:
```
TmCdCuRu
1.0
6.603 0.000 0.000
0.000 6.603 0.000
0.000 0.000 6.603
Tm Cd Cu Ru
4 4 4 4
direct
0.000 0.000 0.000 Tm
0.000 0.500 0.500 Tm
0.500 0.000 0.500 Tm
0.500 0.500 0.000 Tm
0.000 0.000 0.500 Cd
0.000 0.500 0.000 Cd
0.500 0.000 0.000 Cd
0.500 0.500 0.500 Cd
0.250 0.250 0.250 Cu
0.250 0.750 0.750 Cu
0.750 0.250 0.750 Cu
0.750 0.750 0.250 Cu
0.250 0.250 0.750 Ru
0.250 0.750 0.250 Ru
0.750 0.250 0.250 Ru
0.750 0.750 0.750 Ru
```

***

Compound: BeHg2Os
Source: Alexandria via LeMat-Bulk
Functional: PBE
Structure: relaxed

Calculated values
Electronic total energy = -13.98 eV per cell

The structure in POSCAR format:
```
BeHg2Os
1.0
3.047 0.000 0.000
0.000 3.047 0.000
0.000 0.000 7.354
Be Hg Os
1 2 1
direct
0.000 0.000 0.000 Be
0.000 0.000 0.613 Hg
0.500 0.500 0.281 Hg
0.500 0.500 0.890 Os
```

***

Compound: CsK8Rb2Ag
Source: Alexandria via LeMat-Bulk
Functional: PBE
Structure: relaxed

Calculated values
Electronic total energy = -14.01 eV per cell

The structure in POSCAR format:
```
CsK8Rb2Ag
1.0
8.007 -3.313 0.000
8.007 3.313 0.000
-1.552 0.000 16.160
Cs K Rb Ag
1 8 2 1
direct
0.000 0.000 0.000 Cs
0.124 0.124 0.313 K
0.163 0.163 0.651 K
0.291 0.291 0.905 K
0.381 0.381 0.513 K
0.619 0.619 0.487 K
0.709 0.709 0.095 K
0.837 0.837 0.349 K
0.876 0.876 0.687 K
0.426 0.426 0.200 Rb
0.574 0.574 0.800 Rb
0.000 0.000 0.500 Ag
```

***

Compound: BaReW2
Source: Alexandria via LeMat-Bulk
Functional: PBE
Structure: relaxed

Calculated values
Electronic total energy = -69.42 eV per cell

The structure in POSCAR format:
```
BaReW2
1.0
2.989 0.000 0.000
0.000 5.468 0.000
0.000 0.000 10.228
Ba Re W
2 2 4
direct
0.000 0.000 0.000 Ba
0.500 0.500 0.500 Ba
0.000 0.500 0.785 Re
0.500 0.000 0.285 Re
0.000 0.000 0.492 W
0.000 0.500 0.209 W
0.500 0.000 0.709 W
0.500 0.500 0.992 W
```

***

Compound: CaDyNiPd
Source: Alexandria via LeMat-Bulk
Functional: PBE
Structure: relaxed

Calculated values
Electronic total energy = -77.81 eV per cell

The structure in POSCAR format:
```
CaDyNiPd
1.0
6.908 0.000 0.000
0.000 6.908 0.000
0.000 0.000 6.908
Ca Dy Ni Pd
4 4 4 4
direct
0.000 0.000 0.000 Ca
0.000 0.500 0.500 Ca
0.500 0.000 0.500 Ca
0.500 0.500 0.000 Ca
0.000 0.000 0.500 Dy
0.000 0.500 0.000 Dy
0.500 0.000 0.000 Dy
0.500 0.500 0.500 Dy
0.250 0.250 0.750 Ni
0.250 0.750 0.250 Ni
0.750 0.250 0.250 Ni
0.750 0.750 0.750 Ni
0.250 0.250 0.250 Pd
0.250 0.750 0.750 Pd
0.750 0.250 0.750 Pd
0.750 0.750 0.250 Pd
```

***

Compound: Ca2RuN2
Source: Alexandria via LeMat-Bulk
Functional: PBE
Structure: relaxed

Calculated values
Formation energy without anion corrections = 11.5 kJ/mol of atoms
Electronic total energy = -58.66 eV per cell

The structure in POSCAR format:
```
Ca2RuN2
1.0
5.324 0.000 0.000
0.000 5.324 0.000
0.000 0.000 5.359
Ca Ru N
4 2 4
direct
0.000 0.500 0.250 Ca
0.000 0.500 0.750 Ca
0.500 0.000 0.250 Ca
0.500 0.000 0.750 Ca
0.000 0.000 0.000 Ru
0.500 0.500 0.500 Ru
0.000 0.000 0.379 N
0.000 0.000 0.621 N
0.500 0.500 0.121 N
0.500 0.500 0.879 N
```